AlCdAg2: optimized geometry, PBEsol.

Calculated values
**DFT total energy**: -3.021 eV per atom
**Spin magnetization**: 0.0 μB/f.u.
**Formation energy from the elements**: -0.04 eV per atom
**SG**: Cmmm

```
AlCdAg2
1.0
3.0079 -3.7610 0.0000
3.0079 3.7610 0.0000
0.0000 0.0000 3.0046
Al Cd Ag
1 1 2
direct
0.0000 0.0000 0.0000
0.5000 0.5000 0.0000
0.0000 0.5000 0.5000
0.5000 0.0000 0.5000
```